Entry 1:
SmEuGdTm | PBE-GGA | relaxed

Results
* E_form: 0.156 eV per atom
* symmetry: F-43m, No. 216

Structure (extended XYZ):
```
4
Lattice="0.000 4.077 4.077 4.077 0.000 4.077 4.077 4.077 0.000" Properties=species:S:1:pos:R:3 pbc="T T T"
Sm 0.000 0.000 0.000
Eu 6.116 6.116 6.116
Gd 2.039 2.039 2.039
Tm 4.077 4.077 4.077
```

=====

Entry 2:
EuGd2Sn | PBE-GGA | relaxed

Results
* E_form: -0.394 eV per atom
* symmetry: P4/mmm, No. 123
* energy relative to the lowest polymorph listed for this composition: 0.00 eV per formula unit

Structure (extended XYZ):
```
4
Lattice="4.951 0.000 0.000 0.000 4.951 0.000 0.000 0.000 4.829" Properties=species:S:1:pos:R:3 pbc="T T T"
Eu 0.000 0.000 0.000
Gd 0.000 2.476 2.414
Gd 2.476 0.000 2.414
Sn 2.476 2.476 0.000
```

=====

Entry 3:
EuGdSn | PBE-GGA | relaxed

Results
* E_form: -0.453 eV per atom
* symmetry: F-43m, No. 216
* energy relative to the lowest polymorph listed for this composition: 0.00 eV per formula unit

Structure (extended XYZ):
```
3
Lattice="0.000 3.768 3.768 3.768 0.000 3.768 3.768 3.768 0.000" Properties=species:S:1:pos:R:3 pbc="T T T"
Eu 0.000 0.000 0.000
Gd 3.768 3.768 3.768
Sn 1.884 1.884 1.884
```

=====

Entry 4:
EuGd2Sn | PBE-GGA | relaxed

Results
* E_form: -0.270 eV per atom
* symmetry: Fm-3m, No. 225
* energy relative to the lowest polymorph listed for this composition: 0.50 eV per formula unit

Structure (extended XYZ):
```
4
Lattice="0.000 3.885 3.885 3.885 0.000 3.885 3.885 3.885 0.000" Properties=species:S:1:pos:R:3 pbc="T T T"
Eu 0.000 0.000 0.000
Gd 1.942 1.942 1.942
Gd 5.827 5.827 5.827
Sn 3.885 3.885 3.885
```

=====

Number 1: energy -8.231 eV per atom. Number 2: energy -11.004 eV per atom. Number 3: energy -9.906 eV per atom. Number 4: energy -10.880 eV per atom.